Record 1
Material: Lu4C7
Method: DFT, GGA-PBE
State: optimized geometry

abc: 3.5951 13.5077 6.2684
angles: 90.00 105.25 90.00
Space group P2_1/c (No. 14)
Inequivalent atoms, fractional coordinates:
Lu  0.0562  0.1601  0.1603
Lu  0.3650  0.0541  0.7398
C  0.0000  0.0000  0.0000
C  0.2662  0.6037  0.0487
C  0.3778  0.6978  0.0444
C  0.4614  0.2136  0.9232

Output
Raw total energy: -7.84 eV/atom

***

Record 2
Material: Lu4Ni3Mo2C3
Method: DFT, GGA-PBE
State: optimized geometry

abc: 9.7163 5.6445 14.5568
angles: 90.00 100.36 90.00
Space group C2/c (No. 15)
Inequivalent atoms, fractional coordinates:
Lu  0.1119  0.0689  0.0988
Lu  0.2153  0.0885  0.4009
Ni  0.0000  0.0756  0.2500
Ni  0.2406  0.3381  0.2488
Mo  0.0730  0.4090  0.9280
C  0.0755  0.2738  0.5003
C  0.2500  0.2500  0.0000

Output
Raw total energy: -7.04 eV/atom

***

Record 3
Material: Lu2Ni3Mo4C3
Method: DFT, GGA-PBE
State: optimized geometry

abc: 9.2422 5.3384 13.5697
angles: 90.00 103.76 90.00
Space group C2/c (No. 15)
Inequivalent atoms, fractional coordinates:
Lu  0.0380  0.0822  0.3745
Ni  0.0000  0.4171  0.7500
Ni  0.2472  0.1609  0.7518
Mo  0.1112  0.4042  0.5834
Mo  0.2274  0.4218  0.9167
C  0.0849  0.2542  0.0000
C  0.2500  0.2500  0.5000

Output
Raw total energy: -8.33 eV/atom

***

Record 4
Material: Lu4Mo2P3C3
Method: DFT, GGA-PBE
State: optimized geometry

abc: 10.1909 5.8975 12.8418
angles: 90.00 105.28 90.00
Space group C2/c (No. 15)
Inequivalent atoms, fractional coordinates:
Lu  0.1190  0.0765  0.1100
Lu  0.2084  0.0890  0.3898
Mo  0.0625  0.4123  0.9176
P  0.0000  0.1479  0.7500
P  0.1409  0.4475  0.2503
C  0.0779  0.2682  0.5006
C  0.2500  0.2500  0.0000

Output
Raw total energy: -7.65 eV/atom